A geometry-optimized Hf2Ir3Rh3 structure. Source: Alexandria, functional PBE.

Summary:
The calculation puts the formation energy at -0.776 eV per atom. For the total energy, the calculation gives -9.34 eV per atom.

abc: 3.9537 3.9669 7.9003
angles: 90.00 90.00 90.00
Last column: nearest neighbours and their distance in Å.
Space group Pmmm (No. 47)
Unique sites:
Hf1 0.0000 0.0000 0.2495 (multiplicity 2)  6 Rh 2.79-2.80, 6 Ir 2.80
Ir1 0.0000 0.5000 0.5000 (multiplicity 1)  4 Ir 2.79, 4 Rh 2.80, 4 Hf 2.80
Ir2 0.5000 0.5000 0.2505 (multiplicity 2)  2 Ir 2.79, 6 Rh 2.80, 4 Hf 2.80
Rh1 0.0000 0.5000 0.0000 (multiplicity 1)  4 Hf 2.80, 4 Ir 2.80, 4 Rh 2.80
Rh2 0.5000 0.0000 0.0000 (multiplicity 1)  4 Hf 2.79, 4 Rh 2.80, 4 Ir 2.80
Rh3 0.5000 0.0000 0.5000 (multiplicity 1)  8 Ir 2.80, 4 Hf 2.80

=====

A geometry-optimized Hf6IrRh2 structure. Source: Alexandria, functional PBE.

Summary:
The calculation puts the formation energy at -0.492 eV per atom. For the total energy, the calculation gives -9.75 eV per atom.

abc: 5.5645 7.1318 10.6107
angles: 90.00 120.95 90.00
Last column: nearest neighbours and their distance in Å.
Space group P2_1/c (No. 14)
Unique sites:
Hf1 0.0672 0.0665 0.2416 (multiplicity 4)  1 Ir 2.60, 2 Rh 2.71-2.90
Hf2 0.2111 0.7279 0.0682 (multiplicity 4)  1 Ir 2.64, 2 Rh 2.68-2.70
Hf3 0.3814 0.1467 0.0448 (multiplicity 4)  1 Ir 2.71, 2 Rh 2.72-2.78, 2 Hf 2.88-3.01
Ir1 0.5000 0.0000 0.5000 (multiplicity 2)  6 Hf 2.60-2.71
Rh1 0.3298 0.0953 0.7182 (multiplicity 4)  6 Hf 2.68-2.90, 1 Ir 3.00

=====

A geometry-optimized Hf2IrRh structure. Source: Alexandria, functional PBE.

Summary:
The calculation puts the formation energy at -0.904 eV per atom. As for the energy above the most stable polymorph in this dataset: 9 meV/atom. For the total energy, the calculation gives -9.93 eV per atom.

abc: 4.6238 4.6238 3.2832
angles: 90.00 90.00 90.00
Last column: nearest neighbours and their distance in Å.
Space group P4/mmm (No. 123)
Unique sites:
Hf1 0.0000 0.5000 0.0000 (multiplicity 2)  4 Ir 2.84, 4 Rh 2.84
Ir1 0.0000 0.0000 0.5000 (multiplicity 1)  8 Hf 2.84
Rh1 0.5000 0.5000 0.5000 (multiplicity 1)  8 Hf 2.84

=====

Q: Look up the formation energy of the second one.
A: -0.492 eV per atom

=====

Q: formation energy of number 3 (Hf2IrRh)?
A: -0.904 eV per atom